The following is a PBE-GGA calculation of SrPrTlPd after structural relaxation, from Alexandria.

a = 7.697 Å, b = 7.697 Å, c = 7.697 Å
α = 90.00°, β = 90.00°, γ = 90.00°
Space group F-43m (No. 216)
Unique sites:
Sr: 0.000 0.000 0.000 [4 per cell]
Pr: 0.000 0.000 0.500 [4 per cell]
Tl: 0.250 0.250 0.250 [4 per cell]
Pd: 0.250 0.250 0.750 [4 per cell]

## Properties
The value obtained for the total magnetic moment is 0.00 μB per atom. The formation energy comes out at -417.5 meV/atom.